[1]
CdAsRuSe2 | PBE | relaxed

extended XYZ file:
```
5
Lattice="5.0733 0.0000 0.0000 0.0000 5.0733 0.0000 0.0000 0.0000 4.6103" Properties=species:S:1:pos:R:3 pbc="T T T"
As 0.0000 0.0000 2.3051
Se 0.0000 2.5366 0.0000
Ru 0.0000 0.0000 0.0000
Cd 2.5366 2.5366 2.3051
Se 2.5366 0.0000 0.0000
```

Output
* polymorph energy (0 for the lowest one): 0.0 meV per atom
* energy relative to the elements, uncorrected: 0.341 eV/atom
* VASP energy: -4.0206 eV/atom

[2]
CdSn2AsRu | PBE | relaxed

extended XYZ file:
```
5
Lattice="5.2478 0.0000 0.0000 0.0000 4.6924 0.0000 0.0000 0.0000 5.2478" Properties=species:S:1:pos:R:3 pbc="T T T"
As 0.0000 2.3462 0.0000
Sn 0.0000 0.0000 2.6239
Ru 0.0000 0.0000 0.0000
Cd 2.6239 2.3462 2.6239
Sn 2.6239 0.0000 0.0000
```

Output
* formation energy from the elements: 100 kJ/mol of formula units
* VASP energy: -4.3612 eV/atom

> Which of these has the highest VASP energy?

CdAsRuSe2